Run 1
Material: MgIOF2
Method: DFT, GGA-PBEsol
State: relaxed

abc: 3.683 3.683 5.129
angles: 90.00 90.00 90.00
Fractional coordinates of all 5 atoms:
F 0.500 0.000 0.000
F 0.000 0.500 0.000
I 0.500 0.500 0.500
O 0.000 0.000 0.500
Mg 0.000 0.000 0.000

Results
Its space group is P4/mmm.

***

Run 2
Material: MgIOF2
Method: DFT, GGA-PBEsol
State: relaxed

abc: 3.985 4.908 4.908
angles: 90.00 90.00 90.00
Site moments in Bohr magnetons follow the coordinates.
Fractional coordinates of all 5 atoms:
Mg 0.500 0.500 0.500  0.07
I 0.000 0.000 0.000  0.02
F 0.000 0.000 0.500  0.01
F 0.000 0.500 0.000  0.01
O 0.500 0.000 0.000  -0.01

Results
Its space group is P4/mmm.

***

Computed relative energies in units of eV/atom: run 1 0.000; run 2 1.058